Compound: Pm2TcNiO8
Source: Alexandria via LeMat-Bulk
Functional: GGA+U
Structure: relaxed

Calculated values
The space-group type is P-1, No. 2. The total moment is 0.98 μB per cell. Its total energy is -7.14 eV per atom.

abc: 4.249 5.329 6.839
angles: 82.33 86.35 82.75
Fractional positions:
Pm1 0.185 0.022 0.238
Pm2 0.815 0.978 0.762
Tc1 0.500 0.500 0.500
Ni1 0.500 0.500 0.000
O1 0.188 0.769 0.546
O2 0.287 0.261 0.657
O3 0.293 0.822 0.949
O4 0.295 0.451 0.253
O5 0.705 0.549 0.747
O6 0.707 0.178 0.051
O7 0.713 0.739 0.343
O8 0.812 0.231 0.454